1.
A relaxed Al2NiC crystal, computed with PBE.

Geometry as extended XYZ:
```
8
Lattice="7.408 0.000 0.000 0.000 7.408 0.000 3.704 3.704 1.900" Properties=species:S:1:pos:R:3 pbc="T T T"
Al 2.853 5.556 0.475
Al 9.260 8.259 1.425
Al 5.556 6.557 1.425
Al 4.555 1.852 0.475
Ni 7.408 3.704 0.950
Ni 0.000 0.000 0.000
C 3.704 3.704 0.000
C 3.704 7.408 0.950
```

Summary:
Space-group type = I-42d (122)
Electronic total energy = -5.448 eV per atom
Total moment = 0.000 μB/cell

=====

2.
A relaxed AlNiOs2C crystal, computed with PBE.

Geometry as extended XYZ:
```
5
Lattice="4.445 0.000 0.000 0.000 4.196 0.000 0.000 0.000 4.445" Properties=species:S:1:pos:R:3 pbc="T T T"
Os 2.223 0.000 0.000
Os 0.000 0.000 2.223
C 2.223 2.098 2.223
Ni 0.000 0.000 0.000
Al 0.000 2.098 0.000
```

Summary:
Space-group type = P4/mmm (123)
Electronic total energy = -5.774 eV per atom
Total moment = 1.862 μB/cell

=====

3.
A relaxed PmAlNiC crystal, computed with PBE.

Geometry as extended XYZ:
```
8
Lattice="3.772 0.000 0.000 0.000 3.772 0.000 0.000 0.000 9.191" Properties=species:S:1:pos:R:3 pbc="T T T"
C 1.886 0.000 7.985
C 0.000 1.886 1.206
Pm 0.000 1.886 7.909
Pm 1.886 0.000 1.282
Ni 1.886 1.886 4.596
Ni 0.000 0.000 4.596
Al 1.886 0.000 6.050
Al 0.000 1.886 3.141
```

Summary:
Space-group type = P4/nmm (129)
Electronic total energy = -6.114 eV per atom
Total moment = 0.000 μB/cell

=====

4.
A relaxed AlNiRuC2 crystal, computed with PBE.

Geometry as extended XYZ:
```
5
Lattice="-2.784 -1.777 1.983 -2.001 -1.638 -4.276 2.170 -3.177 0.201" Properties=species:S:1:pos:R:3 pbc="T T T"
Al -1.001 -0.819 -2.138
Ru 0.000 0.000 0.000
C -1.392 -0.888 0.992
C 1.085 -1.588 0.100
Ni -1.308 -3.295 -1.046
```

Summary:
Space-group type = P4/mmm (123)
Electronic total energy = -5.983 eV per atom
Total moment = 0.000 μB/cell

=====

5.
A relaxed Sc2AlNiC crystal, computed with PBE.

Geometry as extended XYZ:
```
5
Lattice="-4.364 -0.666 0.887 0.575 -4.438 -0.501 0.804 -0.316 3.719" Properties=species:S:1:pos:R:3 pbc="T T T"
Sc 0.288 -2.219 -0.251
Sc -2.182 -0.333 0.444
Ni 0.402 -0.158 1.859
Al -1.492 -2.710 2.052
C 0.000 0.000 0.000
```

Summary:
Space-group type = P4/mmm (123)
Electronic total energy = -6.656 eV per atom
Total moment = 0.000 μB/cell

=====

6.
A relaxed AlTc2NiC crystal, computed with PBE.

Geometry as extended XYZ:
```
5
Lattice="4.092 0.000 0.000 0.000 4.092 0.000 0.000 0.000 3.717" Properties=species:S:1:pos:R:3 pbc="T T T"
Tc 0.000 2.046 0.000
Tc 2.046 0.000 0.000
Ni 0.000 0.000 1.858
C 0.000 0.000 0.000
Al 2.046 2.046 1.858
```

Summary:
Space-group type = P4/mmm (123)
Electronic total energy = -7.991 eV per atom
Total moment = 0.000 μB/cell

=====

7.
A relaxed AlNi2TeC crystal, computed with PBE.

Geometry as extended XYZ:
```
5
Lattice="4.701 0.000 0.000 0.000 4.274 0.000 0.000 0.000 4.701" Properties=species:S:1:pos:R:3 pbc="T T T"
Al 2.350 2.137 2.350
Te 0.000 0.000 0.000
Ni 2.350 0.000 0.000
Ni 0.000 0.000 2.350
C 0.000 2.137 0.000
```

Summary:
Space-group type = P4/mmm (123)
Total moment = 0.730 μB/cell
Formation energy without anion corrections = 1.55 eV/atom

=====

8.
A relaxed ThAlNiC crystal, computed with PBE.

Geometry as extended XYZ:
```
8
Lattice="3.824 0.000 0.000 0.000 3.824 0.000 0.000 0.000 9.028" Properties=species:S:1:pos:R:3 pbc="T T T"
Ni 1.912 1.912 4.514
Ni 0.000 0.000 4.514
Al 0.000 1.912 3.104
Al 1.912 0.000 5.925
C 1.912 0.000 7.919
C 0.000 1.912 1.109
Th 0.000 1.912 7.701
Th 1.912 0.000 1.327
```

Summary:
Space-group type = P4/nmm (129)
Electronic total energy = -6.933 eV per atom
Total moment = 0.000 μB/cell

=====

9.
A relaxed Ti3Al2NiC crystal, computed with PBE.

Geometry as extended XYZ:
```
28
Lattice="8.105 0.000 0.000 4.052 7.019 0.000 4.052 2.340 6.618" Properties=species:S:1:pos:R:3 pbc="T T T"
Ti 12.157 8.783 6.211
Ti 10.629 7.901 3.716
Ti 6.577 5.561 2.061
Ti 6.577 3.797 4.556
Ti 9.633 5.561 2.061
Ti 12.157 5.255 3.716
Ti 9.633 3.797 4.556
Ti 8.105 2.915 2.061
Ti 13.685 7.901 3.716
Ti 8.105 6.444 4.556
Ti 13.685 6.137 6.211
Ti 10.629 6.137 6.211
Ni 6.079 1.170 0.827
Ni 4.052 4.679 0.827
Ni 2.026 1.170 0.827
Ni 4.052 2.340 4.136
Al 4.052 2.340 0.008
Al 14.865 8.583 6.069
Al 4.052 0.788 2.203
Al 12.157 3.892 6.069
Al 9.449 8.583 6.069
Al 2.708 3.116 2.203
Al 12.157 7.019 1.646
Al 5.397 3.116 2.203
C 6.079 5.849 4.136
C 10.131 5.849 4.136
C 8.105 2.340 4.136
C 8.105 4.679 0.827
```

Summary:
Space-group type = Fd-3m (227)
Electronic total energy = -7.277 eV per atom
Total moment = 0.000 μB/cell

=====

10.
A relaxed Np2AlC crystal, computed with PBE.

Geometry as extended XYZ:
```
4
Lattice="3.031 0.000 0.000 1.515 2.625 0.000 1.515 0.875 9.385" Properties=species:S:1:pos:R:3 pbc="T T T"
Np 4.546 2.625 3.152
Np 1.515 0.875 6.233
Al 0.000 0.000 0.000
C 3.031 1.750 4.693
```

Summary:
Space-group type = R-3m (166)
Electronic total energy = -9.362 eV per atom
Total moment = 5.589 μB/cell

=====

11.
A relaxed NpAlC crystal, computed with PBE.

Geometry as extended XYZ:
```
3
Lattice="3.019 0.000 0.000 0.000 3.019 0.000 -1.509 -1.509 5.491" Properties=species:S:1:pos:R:3 pbc="T T T"
Al 1.509 1.509 5.402
Np 1.509 1.509 2.387
C 0.000 0.000 3.194
```

Summary:
Space-group type = I4mm (107)
Distance to the lowest polymorph of the same formula = 431 meV per atom
Total moment = 2.326 μB/cell

=====

12.
A relaxed NpAlC crystal, computed with PBE.

Geometry as extended XYZ:
```
3
Lattice="-3.232 -4.116 -0.846 2.396 -1.564 -1.544 -0.376 -0.364 3.209" Properties=species:S:1:pos:R:3 pbc="T T T"
Al 0.021 -3.012 -0.339
Np -2.969 -3.782 -0.777
C -1.496 -3.368 1.090
```

Summary:
Space-group type = P3m1 (156)
Distance to the lowest polymorph of the same formula = 0 meV per atom
Total moment = 4.007 μB/cell

=====

no.,DOS at the Fermi energy (states/eV/cell)
1,1.6
2,5.1
3,2.2
4,3.1
5,3.9
6,2.8
7,3.9
8,4.1
9,26.2
10,7.4
11,4.0
12,5.1